# SrOs2Br | the Alexandria database | GGA-PBEsol | optimized geometry
# Offset from the most stable computed form ... 0.646 eV/atom
# Energy ... -5.599 eV per atom
# Crystal system ... orthorhombic
# E_form (uncorrected) ... 1.437 eV per atom
# Space group ... No. 65
data_SrOs2Br
_chemical_formula_sum 'Sr1 Os2 Br1'
_symmetry_space_group_name_H-M 'P 1'
_symmetry_Int_Tables_number 1
_symmetry_space_group_name_Hall 'P 1'
_cell_length_a 2.937
_cell_length_b 2.937
_cell_length_c 9.581
_cell_angle_alpha 90.00
_cell_angle_beta 90.00
_cell_angle_gamma 118.91
loop_
_atom_site_label
_atom_site_fract_x
_atom_site_fract_y
_atom_site_fract_z
Br1 0.500 0.500 0.000
Os1 0.000 0.000 0.768
Os2 0.000 0.000 0.232
Sr1 0.500 0.500 0.500

=====

# Zr2CoCu | the Alexandria database | GGA-PBEsol | optimized geometry
# Energy ... -7.764 eV per atom
# Crystal system ... tetragonal
# Space group ... No. 123
data_Zr2CoCu
_chemical_formula_sum 'Zr2 Co1 Cu1'
_symmetry_space_group_name_H-M 'P 1'
_symmetry_Int_Tables_number 1
_symmetry_space_group_name_Hall 'P 1'
_cell_length_a 3.165
_cell_length_b 3.169
_cell_length_c 6.420
_cell_angle_alpha 89.97
_cell_angle_beta 90.00
_cell_angle_gamma 90.00
loop_
_atom_site_label
_atom_site_fract_x
_atom_site_fract_y
_atom_site_fract_z
Cu1 0.500 0.500 0.000
Zr1 0.000 0.000 0.259
Zr2 0.000 0.000 0.741
Co1 0.500 0.500 0.500

=====

# Sr2NiAg | the Alexandria database | GGA-PBEsol | optimized geometry
# Energy ... -3.253 eV per atom
# Crystal system ... tetragonal
# Space group ... No. 123
data_Sr2NiAg
_chemical_formula_sum 'Sr2 Ni1 Ag1'
_symmetry_space_group_name_H-M 'P 1'
_symmetry_Int_Tables_number 1
_symmetry_space_group_name_Hall 'P 1'
_cell_length_a 3.746
_cell_length_b 5.200
_cell_length_c 5.200
_cell_angle_alpha 90.00
_cell_angle_beta 90.00
_cell_angle_gamma 90.00
loop_
_atom_site_label
_atom_site_fract_x
_atom_site_fract_y
_atom_site_fract_z
Sr1 0.000 0.500 0.000
Sr2 0.000 0.000 0.500
Ni1 0.500 0.000 0.000
Ag1 0.500 0.500 0.500

=====

# ZrInPd2 | the Alexandria database | GGA-PBEsol | optimized geometry
# Energy ... -6.620 eV per atom
# Crystal system ... tetragonal
# Space group ... No. 123
data_ZrInPd2
_chemical_formula_sum 'Zr1 In1 Pd2'
_symmetry_space_group_name_H-M 'P 1'
_symmetry_Int_Tables_number 1
_symmetry_space_group_name_Hall 'P 1'
_cell_length_a 3.381
_cell_length_b 3.381
_cell_length_c 6.255
_cell_angle_alpha 90.00
_cell_angle_beta 90.00
_cell_angle_gamma 90.00
loop_
_atom_site_label
_atom_site_fract_x
_atom_site_fract_y
_atom_site_fract_z
Zr1 0.000 0.000 0.500
Pd1 0.500 0.500 0.267
Pd2 0.500 0.500 0.733
In1 0.000 0.000 0.000

=====

# La2YTe | the Alexandria database | GGA-PBEsol | optimized geometry
# Energy ... -5.813 eV per atom
# Crystal system ... monoclinic
# E_form (uncorrected) ... -0.553 eV per atom
# Space group ... No. 12
data_La2YTe
_chemical_formula_sum 'La2 Y1 Te1'
_symmetry_space_group_name_H-M 'P 1'
_symmetry_Int_Tables_number 1
_symmetry_space_group_name_Hall 'P 1'
_cell_length_a 3.770
_cell_length_b 5.351
_cell_length_c 6.458
_cell_angle_alpha 103.07
_cell_angle_beta 106.97
_cell_angle_gamma 90.00
loop_
_atom_site_label
_atom_site_fract_x
_atom_site_fract_y
_atom_site_fract_z
Te1 0.500 0.000 0.000
Y1 0.000 0.500 0.000
La1 0.221 0.214 0.442
La2 0.779 0.786 0.558

=====

# CeHoMg2 | the Alexandria database | GGA-PBEsol | optimized geometry
# Energy ... -3.697 eV per atom
# Crystal system ... cubic
# Space group ... No. 225
data_CeHoMg2
_chemical_formula_sum 'Ce1 Ho1 Mg2'
_symmetry_space_group_name_H-M 'P 1'
_symmetry_Int_Tables_number 1
_symmetry_space_group_name_Hall 'P 1'
_cell_length_a 5.297
_cell_length_b 5.297
_cell_length_c 5.297
_cell_angle_alpha 60.00
_cell_angle_beta 60.00
_cell_angle_gamma 60.00
loop_
_atom_site_label
_atom_site_fract_x
_atom_site_fract_y
_atom_site_fract_z
Ce1 0.500 0.500 0.500
Mg1 0.250 0.250 0.250
Mg2 0.750 0.750 0.750
Ho1 0.000 0.000 0.000

=====

Which of these has the highest energy? Sr2NiAg

=====

Among the records above, which one has the highest energy? Sr2NiAg

=====

Look up the energy of the sixth one. -3.697 eV per atom